LiFe2Re | the Alexandria database | PBE-GGA | relaxed; relative energy among the computed polymorphs = 0.094 eV per atom; Fermi-level density of states = 0.8408 states/eV per atom; ΔE_f = 241 meV/atom
1.0
4.7804 -0.0301 -0.1827
-2.0125 4.3362 -0.1827
0.4361 0.6785 2.3818
Re Li Fe
1 1 2
direct
0.0000 0.5000 0.5000 Re
0.5000 0.0000 0.5000 Li
0.0000 0.0000 0.0000 Fe
0.5000 0.5000 0.0000 Fe